Crystalline CeTiZnAu at its relaxed geometry. Source: Alexandria via LeMat-Bulk, functional PBE.

Calculated values
For the energy, the calculation gives -19.17 eV per cell.

a b c (Å): 4.923 4.923 4.923
angles (deg): 60.00 60.00 60.00
Last column: magnetic moment on the atom in μB.
Sites, in units of the cell vectors:
Au 0.500 0.500 0.500  0.05
Ti 0.250 0.250 0.250  1.28
Ce 0.750 0.750 0.750  0.65
Zn 0.000 0.000 0.000  0.01

***

Crystalline Ce7TlAu4 at its relaxed geometry. Source: Alexandria via LeMat-Bulk, functional PBE.

Calculated values
For the energy, the calculation gives -60.76 eV per cell.

a b c (Å): 5.843 8.357 7.793
angles (deg): 67.88 67.98 69.54
Last column: magnetic moment on the atom in μB.
Sites, in units of the cell vectors:
Tl 0.000 0.000 0.000  0.02
Ce 0.210 0.074 0.506  0.77
Ce 0.500 0.000 0.000  0.59
Ce 0.050 0.595 0.306  0.71
Ce 0.269 0.707 0.756  0.58
Ce 0.790 0.926 0.494  0.77
Ce 0.731 0.293 0.244  0.58
Ce 0.950 0.405 0.694  0.71
Au 0.704 0.646 0.945  0.00
Au 0.528 0.304 0.640  -0.01
Au 0.296 0.354 0.055  0.00
Au 0.472 0.696 0.360  -0.01

***

Crystalline Ce3Tl2Au2 at its relaxed geometry. Source: Alexandria via LeMat-Bulk, functional PBE.

Calculated values
For the energy, the calculation gives -32.38 eV per cell.

a b c (Å): 4.707 3.407 11.612
angles (deg): 90.00 78.31 90.00
Last column: magnetic moment on the atom in μB.
Sites, in units of the cell vectors:
Ce 0.165 0.000 0.670  0.70
Ce 0.000 0.000 0.000  0.97
Ce 0.835 0.000 0.330  0.70
Tl 0.420 0.500 0.159  -0.01
Tl 0.580 0.500 0.841  -0.01
Au 0.285 0.500 0.429  0.00
Au 0.715 0.500 0.571  0.00

***

Crystalline Ce8TlAu2 at its relaxed geometry. Source: Alexandria via LeMat-Bulk, functional PBE.

Calculated values
The calculation puts the energy above the lowest structure with this stoichiometry at 1.84 eV/f.u. For the energy, the calculation gives -56.34 eV per cell.

a b c (Å): 6.180 7.433 7.433
angles (deg): 73.90 96.87 96.87
Last column: magnetic moment on the atom in μB.
Sites, in units of the cell vectors:
Au 0.620 0.791 0.791  0.00
Au 0.380 0.209 0.209  0.00
Ce 0.282 0.812 0.403  0.33
Ce 0.136 0.751 0.751  0.35
Ce 0.768 0.567 0.567  0.24
Ce 0.718 0.188 0.597  0.33
Ce 0.232 0.433 0.433  0.24
Ce 0.864 0.249 0.249  0.35
Ce 0.718 0.597 0.188  0.33
Ce 0.282 0.403 0.812  0.33
Tl 0.000 0.000 0.000  0.01

***

Crystalline Ce2TlAu3 at its relaxed geometry. Source: Alexandria via LeMat-Bulk, functional PBE.

Calculated values
The calculation puts the energy above the lowest structure with this stoichiometry at 0.66 eV/f.u. For the energy, the calculation gives -26.83 eV per cell.

a b c (Å): 4.299 3.913 9.886
angles (deg): 101.42 102.56 90.00
Last column: magnetic moment on the atom in μB.
Sites, in units of the cell vectors:
Ce 0.137 0.137 0.273  0.96
Ce 0.850 0.350 0.700  0.91
Au 0.705 0.705 0.410  0.01
Au 0.296 0.796 0.592  0.01
Au 0.560 0.560 0.119  0.00
Tl 0.453 0.953 0.906  0.01

***

Crystalline CeTlAu at its relaxed geometry. Source: Alexandria via LeMat-Bulk, functional PBE.

Calculated values
For the energy, the calculation gives -12.94 eV per cell.

a b c (Å): 3.433 5.002 5.002
angles (deg): 120.00 90.00 90.00
Last column: magnetic moment on the atom in μB.
Sites, in units of the cell vectors:
Tl 0.167 0.000 0.000  -0.01
Au 0.166 0.333 0.667  0.00
Ce 0.667 0.667 0.333  0.95

***

Crystalline Ce4TlAu2 at its relaxed geometry. Source: Alexandria via LeMat-Bulk, functional PBE.

Calculated values
For the energy, the calculation gives -33.92 eV per cell.

a b c (Å): 5.131 5.131 9.082
angles (deg): 73.59 73.59 60.00
Last column: magnetic moment on the atom in μB.
Sites, in units of the cell vectors:
Au 0.115 0.115 0.654  -0.01
Au 0.885 0.885 0.346  -0.01
Ce 0.228 0.228 0.315  0.68
Ce 0.388 0.388 0.835  0.84
Ce 0.612 0.612 0.165  0.84
Ce 0.772 0.772 0.685  0.68
Tl 0.000 0.000 0.000  -0.02

***

Crystalline CeTlAu3 at its relaxed geometry. Source: Alexandria via LeMat-Bulk, functional PBE.

Calculated values
For the energy, the calculation gives -40.46 eV per cell.

a b c (Å): 4.849 3.497 13.972
angles (deg): 97.19 90.00 90.00
Last column: magnetic moment on the atom in μB.
Sites, in units of the cell vectors:
Ce 0.250 0.074 0.149  0.81
Ce 0.750 0.926 0.851  0.81
Tl 0.250 0.786 0.571  0.01
Tl 0.750 0.214 0.429  0.01
Au 0.250 0.675 0.349  0.00
Au 0.250 0.378 0.755  0.00
Au 0.750 0.524 0.047  0.00
Au 0.250 0.476 0.953  0.00
Au 0.750 0.622 0.245  0.00
Au 0.750 0.325 0.651  0.00

***

Crystalline Ce4Tl5Au2 at its relaxed geometry. Source: Alexandria via LeMat-Bulk, functional PBE.

Calculated values
For the energy, the calculation gives -45.99 eV per cell.

a b c (Å): 3.429 8.281 10.522
angles (deg): 94.74 90.00 90.00
Last column: magnetic moment on the atom in μB.
Sites, in units of the cell vectors:
Tl 0.000 0.184 0.157  0.00
Tl 0.000 0.500 0.000  0.00
Tl 0.000 0.551 0.308  0.00
Tl 0.000 0.449 0.692  0.00
Tl 0.000 0.816 0.843  0.00
Au 0.000 0.938 0.366  0.01
Au 0.000 0.062 0.634  0.01
Ce 0.500 0.830 0.130  0.89
Ce 0.500 0.749 0.556  0.88
Ce 0.500 0.170 0.870  0.89
Ce 0.500 0.251 0.444  0.88

***

Crystalline CeTlAu at its relaxed geometry. Source: Alexandria via LeMat-Bulk, functional PBE.

Calculated values
For the energy, the calculation gives -12.66 eV per cell.

a b c (Å): 3.611 3.611 6.379
angles (deg): 106.44 106.44 90.00
Last column: magnetic moment on the atom in μB.
Sites, in units of the cell vectors:
Ce 0.965 0.965 0.930  0.76
Au 0.615 0.615 0.231  -0.02
Tl 0.270 0.270 0.539  -0.01

***

Crystalline Ce6TlAu5 at its relaxed geometry. Source: Alexandria via LeMat-Bulk, functional PBE.

Calculated values
For the energy, the calculation gives -60.79 eV per cell.

a b c (Å): 5.394 7.391 8.069
angles (deg): 90.00 112.12 90.00
Last column: magnetic moment on the atom in μB.
Sites, in units of the cell vectors:
Ce 0.899 0.746 0.642  0.73
Ce 0.500 0.740 0.000  0.73
Ce 0.101 0.254 0.358  0.73
Ce 0.899 0.254 0.642  0.73
Ce 0.101 0.746 0.358  0.73
Ce 0.500 0.260 0.000  0.73
Au 0.000 0.500 0.000  0.00
Au 0.431 0.000 0.673  0.00
Au 0.564 0.500 0.329  -0.01
Au 0.436 0.500 0.671  -0.01
Au 0.569 0.000 0.327  0.00
Tl 0.000 0.000 0.000  -0.01

***

Crystalline CeTlAu4 at its relaxed geometry. Source: Alexandria via LeMat-Bulk, functional PBE.

Calculated values
The calculation puts the energy above the lowest structure with this stoichiometry at 0.14 eV/f.u. For the energy, the calculation gives -23.52 eV per cell.

a b c (Å): 5.709 5.709 5.709
angles (deg): 60.00 60.00 60.00
Last column: magnetic moment on the atom in μB.
Sites, in units of the cell vectors:
Tl 0.250 0.250 0.250  0.01
Au 0.625 0.126 0.625  0.00
Au 0.625 0.625 0.126  0.00
Au 0.126 0.625 0.625  0.00
Au 0.625 0.625 0.625  0.00
Ce 0.000 0.000 0.000  0.94